Computed, not measured: a geometry-optimized Ac2PmIr structure at the GGA-PBE level of DFT.

## Properties
Space-group type: Immm (71)
Fermi-level density of states (states/eV per cell): 3.47
Formation enthalpy at 0 K (eV per atom): -0.402

abc: 4.3587 5.7148 7.1204
angles: 113.66 107.83 90.01
Sites, in units of the cell vectors:
Ac: 0.8384 0.8473 0.6768
Ac: 0.1616 0.1707 0.3232
Pm: 0.5000 0.5090 0.0000
Ir: 0.5000 0.0090 0.0000

Computed, not measured: a geometry-optimized Ac2PmIr structure at the GGA-PBE level of DFT.

## Properties
Space-group type: R-3m (166)
Fermi-level density of states (states/eV per cell): 5.62
Formation enthalpy at 0 K (eV per atom): -0.270

abc: 4.1809 4.1809 10.1512
angles: 78.12 78.12 60.00
Sites, in units of the cell vectors:
Ac: 0.2243 0.2243 0.3272
Ac: 0.7757 0.7757 0.6728
Pm: 0.0000 0.0000 0.0000
Ir: 0.5000 0.5000 0.5000

Computed, not measured: a geometry-optimized AcPm12Ir6 structure at the GGA-PBE level of DFT.

## Properties
Space-group type: R-3m (166)
Fermi-level density of states (states/eV per cell): 15.45
Formation enthalpy at 0 K (eV per atom): -0.452

abc: 8.6518 8.6518 8.6518
angles: 105.54 105.54 105.54
Sites, in units of the cell vectors:
Pm: 0.5543 0.5543 0.8156
Pm: 0.8760 0.5000 0.1240
Pm: 0.1844 0.4457 0.4457
Pm: 0.5000 0.1240 0.8760
Pm: 0.4457 0.4457 0.1844
Pm: 0.8760 0.1240 0.5000
Pm: 0.5543 0.8156 0.5543
Pm: 0.1240 0.5000 0.8760
Pm: 0.4457 0.1844 0.4457
Pm: 0.5000 0.8760 0.1240
Pm: 0.8156 0.5543 0.5543
Pm: 0.1240 0.8760 0.5000
Ir: 0.3132 0.7486 0.7486
Ir: 0.7486 0.3132 0.7486
Ir: 0.7486 0.7486 0.3132
Ir: 0.2514 0.2514 0.6868
Ir: 0.6868 0.2514 0.2514
Ir: 0.2514 0.6868 0.2514
Ac: 0.0000 0.0000 0.0000

Computed, not measured: a geometry-optimized AcPmIr structure at the GGA-PBE level of DFT.

## Properties
Space-group type: R-3m (166)
Fermi-level density of states (states/eV per cell): 3.46
Formation enthalpy at 0 K (eV per atom): -0.563

abc: 4.3962 4.3962 12.6234
angles: 79.97 79.97 60.00
Sites, in units of the cell vectors:
Ac: 0.8859 0.8859 0.3422
Ac: 0.1141 0.1141 0.6578
Pm: 0.7032 0.7032 0.8903
Pm: 0.2968 0.2968 0.1097
Ir: 0.4055 0.4055 0.7836
Ir: 0.5945 0.5945 0.2164

Computed, not measured: a geometry-optimized AcPm5Ir2 structure at the GGA-PBE level of DFT.

## Properties
Space-group type: Immm (71)
Fermi-level density of states (states/eV per cell): 9.35
Formation enthalpy at 0 K (eV per atom): -0.379

abc: 4.2892 9.1597 9.1597
angles: 47.96 76.46 76.46
Sites, in units of the cell vectors:
Ir: 0.8155 0.6845 0.6845
Ir: 0.1845 0.3155 0.3155
Pm: 0.6625 0.0905 0.5845
Pm: 0.3375 0.4155 0.9095
Pm: 0.0000 0.5000 0.5000
Pm: 0.3375 0.9095 0.4155
Pm: 0.6625 0.5845 0.0905
Ac: 0.0000 0.0000 0.0000

Computed, not measured: a geometry-optimized AcPm4Ir2 structure at the GGA-PBE level of DFT.

## Properties
Space-group type: Ima2 (46)
Fermi-level density of states (states/eV per cell): 13.35
Formation enthalpy at 0 K (eV per atom): -0.406

abc: 6.7172 7.9859 9.8453
angles: 113.93 109.95 90.00
Sites, in units of the cell vectors:
Ir: 0.5392 0.3752 0.2503
Ir: 0.8073 0.3854 0.7707
Ir: 0.2858 0.3646 0.7292
Ir: 0.5392 0.8751 0.2503
Ac: 0.4296 0.7368 0.4735
Ac: 0.2061 0.0133 0.0267
Pm: 0.9614 0.5557 0.6161
Pm: 0.8301 0.1284 0.2569
Pm: 0.5951 0.6891 0.8836
Pm: 0.9614 0.0604 0.6161
Pm: 0.4494 0.2361 0.4723
Pm: 0.5951 0.1945 0.8836
Pm: 0.8233 0.6215 0.2429
Pm: 0.2271 0.5140 0.0279

Computed, not measured: a geometry-optimized Ac2PmIr structure at the GGA-PBE level of DFT.

## Properties
Space-group type: P4/mmm (123)
Fermi-level density of states (states/eV per cell): 5.66
Formation enthalpy at 0 K (eV per atom): -0.184

abc: 3.7742 3.7742 9.4877
angles: 90.00 90.00 90.00
Sites, in units of the cell vectors:
Ac: 0.0000 0.0000 0.1841
Ac: 0.0000 0.0000 0.8159
Ir: 0.5000 0.5000 0.0000
Pm: 0.5000 0.5000 0.5000

Computed, not measured: a geometry-optimized AcPm3Ir2 structure at the GGA-PBE level of DFT.

## Properties
Space-group type: C2/m (12)
Fermi-level density of states (states/eV per cell): 9.24
Formation enthalpy at 0 K (eV per atom): -0.403

abc: 5.0865 9.5474 8.6830
angles: 123.59 90.00 105.45
Sites, in units of the cell vectors:
Ir: 0.5023 0.0046 0.1568
Ir: 0.4977 0.9954 0.8432
Ir: 0.2226 0.4452 0.8045
Ir: 0.7774 0.5548 0.1955
Pm: 0.3697 0.7394 0.2494
Pm: 0.6303 0.2606 0.7506
Pm: 0.6873 0.3746 0.3863
Pm: 0.9326 0.8653 0.5955
Pm: 0.0674 0.1347 0.4045
Pm: 0.3127 0.6254 0.6137
Ac: 0.1318 0.2635 0.0436
Ac: 0.8682 0.7365 0.9564

Computed, not measured: a geometry-optimized AcPm4Ir3 structure at the GGA-PBE level of DFT.

## Properties
Space-group type: Cc (9)
Fermi-level density of states (states/eV per cell): 8.22
Formation enthalpy at 0 K (eV per atom): -0.575

abc: 7.3017 7.8262 10.5050
angles: 109.40 90.00 117.81
Sites, in units of the cell vectors:
Ir: 0.6986 0.3966 0.8741
Ir: 0.8940 0.8051 0.3084
Ir: 0.2950 0.5886 0.5829
Ir: 0.6979 0.3966 0.3741
Ir: 0.2936 0.5886 0.0829
Ir: 0.9111 0.8051 0.8084
Pm: 0.7245 0.7806 0.0511
Pm: 0.5457 0.4163 0.6291
Pm: 0.2843 0.2080 0.9344
Pm: 0.8705 0.4163 0.1291
Pm: 0.0560 0.7806 0.5511
Pm: 0.1318 0.5937 0.8340
Pm: 0.9238 0.2080 0.4344
Pm: 0.4618 0.5937 0.3340
Ac: 0.3157 0.9909 0.2360
Ac: 0.6752 0.9909 0.7360

Computed, not measured: a geometry-optimized Ac2Pm3Ir4 structure at the GGA-PBE level of DFT.

## Properties
Space-group type: P2_1/c (14)
Fermi-level density of states (states/eV per cell): 8.08
Formation enthalpy at 0 K (eV per atom): -0.669

abc: 7.7716 7.9150 7.8762
angles: 90.00 90.00 107.92
Sites, in units of the cell vectors:
Ir: 0.1321 0.9141 0.4660
Ir: 0.3679 0.0859 0.9660
Ir: 0.3781 0.4957 0.3769
Ir: 0.6219 0.5043 0.6231
Ir: 0.1219 0.5043 0.8769
Ir: 0.8679 0.0859 0.5340
Ir: 0.8781 0.4957 0.1231
Ir: 0.6321 0.9141 0.0340
Pm: 0.7461 0.2450 0.8233
Pm: 0.5000 0.5000 0.0000
Pm: 0.2461 0.2450 0.6767
Pm: 0.7539 0.7550 0.3233
Pm: 0.2539 0.7550 0.1767
Pm: 0.0000 0.5000 0.5000
Ac: 0.0840 0.1952 0.1791
Ac: 0.5840 0.1952 0.3209
Ac: 0.9160 0.8048 0.8209
Ac: 0.4160 0.8048 0.6791

Computed, not measured: a geometry-optimized AcPmIr structure at the GGA-PBE level of DFT.

## Properties
Space-group type: P3m1 (156)
Fermi-level density of states (states/eV per cell): 2.03
Formation enthalpy at 0 K (eV per atom): -0.532

abc: 6.6559 4.3116 4.3116
angles: 120.00 90.00 90.00
Sites, in units of the cell vectors:
Pm: 0.2198 0.3333 0.6667
Ir: 0.0099 0.0000 0.0000
Ac: 0.7703 0.6667 0.3333

Computed, not measured: a geometry-optimized Ac3Pm2Ir2 structure at the GGA-PBE level of DFT.

## Properties
Space-group type: P-1 (2)
Fermi-level density of states (states/eV per cell): 8.05
Formation enthalpy at 0 K (eV per atom): -0.450

abc: 4.0445 7.0921 9.8202
angles: 112.75 101.77 106.64
Sites, in units of the cell vectors:
Ac: 0.7998 0.1706 0.4257
Ac: 0.2002 0.8294 0.5743
Ac: 0.5000 0.0000 0.0000
Pm: 0.6407 0.4534 0.8268
Pm: 0.3593 0.5466 0.1732
Ir: 0.0043 0.8401 0.1689
Ir: 0.9957 0.1599 0.8311